(1)
The following is a DFT calculation (PBE-GGA) of a relaxed structure of LiLa2Pr3S6.

abc: 7.060 12.265 7.128
angles: 90.00 109.46 90.00
Space group C2/m (No. 12)
Symmetry-distinct sites (fractional):
Li: 0.000 0.000 0.000 [2 per cell]
La: 0.000 0.334 0.000 [4 per cell]
Pr: 0.000 0.166 0.500 [4 per cell]
Pr: 0.000 0.500 0.500 [2 per cell]
S: 0.241 0.000 0.756 [4 per cell]
S: 0.244 0.162 0.246 [8 per cell]

The value obtained for the formation energy without anion corrections is -23.9 eV/f.u. The calculation puts the density of states at the Fermi level at 10.3 states/eV per cell.

(2)
The following is a DFT calculation (PBE-GGA) of a relaxed structure of Li2LaPrS4.

abc: 6.640 4.130 7.149
angles: 90.00 110.93 90.00
Space group P2/m (No. 10)
Symmetry-distinct sites (fractional):
Li: 0.000 0.000 0.000 [1 per cell]
Li: 0.000 0.500 0.500 [1 per cell]
La: 0.500 0.000 0.500 [1 per cell]
Pr: 0.500 0.500 0.000 [1 per cell]
S: 0.242 0.000 0.750 [2 per cell]
S: 0.243 0.500 0.246 [2 per cell]

The value obtained for the formation energy without anion corrections is -14.4 eV/f.u. The calculation puts the density of states at the Fermi level at 0.0 states/eV per cell.

(3)
The following is a DFT calculation (PBE-GGA) of a relaxed structure of LiLa3Pr4S8.

abc: 8.1958 8.1958 20.1992
angles: 90.00 90.00 120.00
Space group R-3m (No. 166, hexagonal axes)
Symmetry-distinct sites (fractional):
Li: 0.0000 0.0000 0.0000 [3 per cell]
La: 0.0000 0.5000 0.0000 [9 per cell]
Pr: 0.0000 0.0000 0.5000 [3 per cell]
Pr: 0.0000 0.5000 0.5000 [9 per cell]
S: 0.0000 0.0000 0.2495 [6 per cell]
S: 0.0081 0.5041 0.7485 [18 per cell]

The value obtained for the formation energy without anion corrections is -32.2 eV/f.u. The calculation puts the density of states at the Fermi level at 31.5 states/eV per cell.

(4)
The following is a DFT calculation (PBE-GGA) of a relaxed structure of Li2La2Pr3Sb4.

abc: 4.5860 4.5860 18.5443
angles: 90.00 90.00 120.00
Space group P-3m1 (No. 164)
Symmetry-distinct sites (fractional):
Li: 0.3333 0.6667 0.1177 [2 per cell]
La: 0.3333 0.6667 0.5841 [2 per cell]
Pr: 0.0000 0.0000 0.0000 [1 per cell]
Pr: 0.0000 0.0000 0.2250 [2 per cell]
Sb: 0.3333 0.6667 0.3200 [2 per cell]
Sb: 0.3333 0.6667 0.8906 [2 per cell]

The value obtained for the formation energy without anion corrections is -9.7 eV/f.u. The calculation puts the density of states at the Fermi level at 10.5 states/eV per cell.

(5)
The following is a DFT calculation (PBE-GGA) of a relaxed structure of Li2LaPr2Sb2.

abc: 4.8147 4.8147 28.5158
angles: 90.00 90.00 120.00
Space group R-3m (No. 166, hexagonal axes)
Symmetry-distinct sites (fractional):
Li: 0.0000 0.0000 0.0921 [6 per cell]
La: 0.0000 0.0000 0.5000 [3 per cell]
Pr: 0.0000 0.0000 0.3697 [6 per cell]
Sb: 0.0000 0.0000 0.2360 [6 per cell]

The value obtained for the formation energy without anion corrections is -4.5 eV/f.u. The calculation puts the density of states at the Fermi level at 16.3 states/eV per cell.

(6)
The following is a DFT calculation (PBE-GGA) of a relaxed structure of LiLaPrSb.

abc: 7.697 7.697 7.697
angles: 90.00 90.00 90.00
Space group F-43m (No. 216)
Symmetry-distinct sites (fractional):
Li: 0.000 0.000 0.000 [4 per cell]
La: 0.250 0.250 0.250 [4 per cell]
Pr: 0.250 0.250 0.750 [4 per cell]
Sb: 0.000 0.000 0.500 [4 per cell]

The value obtained for the formation energy without anion corrections is -2.1 eV/f.u. The calculation puts the density of states at the Fermi level at 13.9 states/eV per cell.

(7)
The following is a DFT calculation (PBE-GGA) of a relaxed structure of LiLa3Pr2Se6.

abc: 7.392 12.838 7.335
angles: 90.00 109.81 90.00
Space group C2/m (No. 12)
Symmetry-distinct sites (fractional):
Li: 0.000 0.000 0.000 [2 per cell]
La: 0.000 0.168 0.500 [4 per cell]
La: 0.000 0.500 0.500 [2 per cell]
Pr: 0.000 0.334 0.000 [4 per cell]
Se: 0.240 0.000 0.759 [4 per cell]
Se: 0.241 0.161 0.241 [8 per cell]

The value obtained for the formation energy without anion corrections is -22.4 eV/f.u. The calculation puts the density of states at the Fermi level at 12.3 states/eV per cell.

(8)
The following is a DFT calculation (PBE-GGA) of a relaxed structure of LiLaPr2Se4.

abc: 7.275 4.240 7.395
angles: 90.00 109.44 90.00
Space group P2/m (No. 10)
Symmetry-distinct sites (fractional):
Li: 0.000 0.000 0.000 [1 per cell]
La: 0.500 0.500 0.000 [1 per cell]
Pr: 0.000 0.500 0.500 [1 per cell]
Pr: 0.500 0.000 0.500 [1 per cell]
Se: 0.241 0.500 0.242 [2 per cell]
Se: 0.243 0.000 0.755 [2 per cell]

The value obtained for the formation energy without anion corrections is -14.4 eV/f.u. The calculation puts the density of states at the Fermi level at 2.8 states/eV per cell.

(9)
The following is a DFT calculation (PBE-GGA) of a relaxed structure of LiLa2PrSe5.

abc: 4.258 17.643 12.698
angles: 90.00 90.00 90.00
Space group Cmc2_1 (No. 36)
Symmetry-distinct sites (fractional):
Li: 0.000 0.013 0.000 [4 per cell]
La: 0.000 0.378 0.816 [4 per cell]
La: 0.000 0.391 0.201 [4 per cell]
Pr: 0.000 0.304 0.518 [4 per cell]
Se: 0.000 0.002 0.802 [4 per cell]
Se: 0.000 0.136 0.516 [4 per cell]
Se: 0.000 0.192 0.855 [4 per cell]
Se: 0.000 0.210 0.182 [4 per cell]
Se: 0.000 0.457 0.590 [4 per cell]

The value obtained for the formation energy without anion corrections is -16.5 eV/f.u.

(10)
The following is a DFT calculation (PBE-GGA) of a relaxed structure of LiLa2Pr3Se6.

abc: 7.333 12.737 7.404
angles: 90.00 109.49 90.00
Space group C2/m (No. 12)
Symmetry-distinct sites (fractional):
Li: 0.000 0.000 0.000 [2 per cell]
La: 0.000 0.335 0.000 [4 per cell]
Pr: 0.000 0.168 0.500 [4 per cell]
Pr: 0.000 0.500 0.500 [2 per cell]
Se: 0.239 0.000 0.756 [4 per cell]
Se: 0.242 0.161 0.244 [8 per cell]

The value obtained for the formation energy without anion corrections is -22.1 eV/f.u. The calculation puts the density of states at the Fermi level at 11.3 states/eV per cell.

(11)
The following is a DFT calculation (PBE-GGA) of a relaxed structure of LiLaPr2Se5.

abc: 4.234 17.612 12.689
angles: 90.00 90.00 90.00
Space group Cmc2_1 (No. 36)
Symmetry-distinct sites (fractional):
Li: 0.000 0.012 0.000 [4 per cell]
La: 0.000 0.304 0.514 [4 per cell]
Pr: 0.000 0.379 0.812 [4 per cell]
Pr: 0.000 0.390 0.199 [4 per cell]
Se: 0.000 0.003 0.802 [4 per cell]
Se: 0.000 0.135 0.513 [4 per cell]
Se: 0.000 0.192 0.849 [4 per cell]
Se: 0.000 0.209 0.180 [4 per cell]
Se: 0.000 0.457 0.590 [4 per cell]

The value obtained for the formation energy without anion corrections is -15.9 eV/f.u.

(12)
The following is a DFT calculation (PBE-GGA) of a relaxed structure of Li2La2PrSi2.

abc: 4.5541 4.5541 27.4682
angles: 90.00 90.00 120.00
Space group R-3m (No. 166, hexagonal axes)
Symmetry-distinct sites (fractional):
Li: 0.0000 0.0000 0.0981 [6 per cell]
La: 0.0000 0.0000 0.3672 [6 per cell]
Pr: 0.0000 0.0000 0.5000 [3 per cell]
Si: 0.0000 0.0000 0.2364 [6 per cell]

The value obtained for the formation energy without anion corrections is -2.8 eV/f.u. The calculation puts the density of states at the Fermi level at 11.5 states/eV per cell.

(13)
The following is a DFT calculation (PBE-GGA) of a relaxed structure of Li2LaPrSi2.

abc: 4.5124 4.5124 7.7144
angles: 90.00 90.00 120.00
Space group P-3m1 (No. 164)
Symmetry-distinct sites (fractional):
Li: 0.3333 0.6667 0.2378 [2 per cell]
La: 0.0000 0.0000 0.5000 [1 per cell]
Pr: 0.0000 0.0000 0.0000 [1 per cell]
Si: 0.3333 0.6667 0.7545 [2 per cell]

The value obtained for the formation energy without anion corrections is -3.2 eV/f.u. The calculation puts the density of states at the Fermi level at 1.3 states/eV per cell.

(14)
The following is a DFT calculation (PBE-GGA) of a relaxed structure of Li2LaPr2Sn2.

abc: 4.8940 4.8940 28.1768
angles: 90.00 90.00 120.00
Space group R-3m (No. 166, hexagonal axes)
Symmetry-distinct sites (fractional):
Li: 0.0000 0.0000 0.0937 [6 per cell]
La: 0.0000 0.0000 0.5000 [3 per cell]
Pr: 0.0000 0.0000 0.3697 [6 per cell]
Sn: 0.0000 0.0000 0.2376 [6 per cell]

The calculation puts the density of states at the Fermi level at 15.5 states/eV per cell. The formation energy comes out at -0.494 eV per atom.

(15)
The following is a DFT calculation (PBE-GGA) of a relaxed structure of Li2La2PrSn2.

abc: 4.8473 4.8473 28.0964
angles: 90.00 90.00 120.00
Space group R-3m (No. 166, hexagonal axes)
Symmetry-distinct sites (fractional):
Li: 0.0000 0.0000 0.0959 [6 per cell]
La: 0.0000 0.0000 0.3660 [6 per cell]
Pr: 0.0000 0.0000 0.5000 [3 per cell]
Sn: 0.0000 0.0000 0.2353 [6 per cell]

The calculation puts the density of states at the Fermi level at 12.4 states/eV per cell. The formation energy comes out at -0.503 eV per atom.

(16)
The following is a DFT calculation (PBE-GGA) of a relaxed structure of LiLaPrSn.

abc: 7.740 7.740 7.740
angles: 90.00 90.00 90.00
Space group F-43m (No. 216)
Symmetry-distinct sites (fractional):
Li: 0.000 0.000 0.000 [4 per cell]
La: 0.250 0.250 0.250 [4 per cell]
Pr: 0.250 0.250 0.750 [4 per cell]
Sn: 0.000 0.000 0.500 [4 per cell]

The calculation puts the density of states at the Fermi level at 12.3 states/eV per cell. The formation energy comes out at -0.451 eV per atom.

(17)
The following is a DFT calculation (PBE-GGA) of a relaxed structure of LiLaTbPr.

abc: 8.002 8.002 8.002
angles: 90.00 90.00 90.00
Space group F-43m (No. 216)
Symmetry-distinct sites (fractional):
Li: 0.000 0.000 0.000 [4 per cell]
La: 0.250 0.250 0.250 [4 per cell]
Tb: 0.000 0.000 0.500 [4 per cell]
Pr: 0.250 0.250 0.750 [4 per cell]

The calculation puts the density of states at the Fermi level at 19.7 states/eV per cell. The formation energy comes out at 0.153 eV per atom.

(18)
The following is a DFT calculation (PBE-GGA) of a relaxed structure of LiLa3Pr2Te6.

abc: 19.719 4.544 9.030
angles: 90.00 102.59 90.00
Space group C2/m (No. 12)
Symmetry-distinct sites (fractional):
Li: 0.000 0.000 0.000 [2 per cell]
La: 0.000 0.000 0.500 [2 per cell]
La: 0.167 0.500 0.833 [4 per cell]
Pr: 0.169 0.500 0.341 [4 per cell]
Te: 0.001 0.500 0.238 [4 per cell]
Te: 0.161 0.000 0.084 [4 per cell]
Te: 0.165 0.000 0.585 [4 per cell]

The value obtained for the formation energy without anion corrections is -17.8 eV/f.u. The calculation puts the density of states at the Fermi level at 9.6 states/eV per cell.

(19)
The following is a DFT calculation (PBE-GGA) of a relaxed structure of LiLa2PrTe5.

abc: 4.527 19.081 13.424
angles: 90.00 90.00 90.00
Space group Cmc2_1 (No. 36)
Symmetry-distinct sites (fractional):
Li: 0.000 0.053 0.000 [4 per cell]
La: 0.000 0.377 0.839 [4 per cell]
La: 0.000 0.394 0.220 [4 per cell]
Pr: 0.000 0.300 0.543 [4 per cell]
Te: 0.000 0.001 0.316 [4 per cell]
Te: 0.000 0.134 0.535 [4 per cell]
Te: 0.000 0.186 0.878 [4 per cell]
Te: 0.000 0.214 0.208 [4 per cell]
Te: 0.000 0.454 0.607 [4 per cell]

The value obtained for the formation energy without anion corrections is -12.8 eV/f.u.

(20)
The following is a DFT calculation (PBE-GGA) of a relaxed structure of LiLa2Pr3Te6.

abc: 19.740 4.519 9.061
angles: 90.00 103.80 90.00
Space group C2/m (No. 12)
Symmetry-distinct sites (fractional):
Li: 0.000 0.000 0.000 [2 per cell]
La: 0.166 0.500 0.332 [4 per cell]
Pr: 0.000 0.000 0.500 [2 per cell]
Pr: 0.169 0.500 0.831 [4 per cell]
Te: 0.002 0.500 0.761 [4 per cell]
Te: 0.160 0.000 0.076 [4 per cell]
Te: 0.166 0.000 0.583 [4 per cell]

The value obtained for the formation energy without anion corrections is -17.5 eV/f.u. The calculation puts the density of states at the Fermi level at 10.5 states/eV per cell.

(21)
The following is a DFT calculation (PBE-GGA) of a relaxed structure of Li2LaPrTe4.

abc: 7.548 4.527 7.837
angles: 90.00 110.18 90.00
Space group P2/m (No. 10)
Symmetry-distinct sites (fractional):
Li: 0.000 0.000 0.000 [1 per cell]
Li: 0.000 0.500 0.500 [1 per cell]
La: 0.500 0.000 0.500 [1 per cell]
Pr: 0.500 0.500 0.000 [1 per cell]
Te: 0.236 0.500 0.244 [2 per cell]
Te: 0.237 0.000 0.748 [2 per cell]

The value obtained for the formation energy without anion corrections is -10.7 eV/f.u.

(22)
The following is a DFT calculation (PBE-GGA) of a relaxed structure of LiLaPrTe3.

abc: 9.295 4.379 9.707
angles: 90.00 103.19 90.00
Space group P2_1/m (No. 11)
Symmetry-distinct sites (fractional):
Li: 0.086 0.250 0.086 [2 per cell]
La: 0.183 0.250 0.728 [2 per cell]
Pr: 0.336 0.750 0.342 [2 per cell]
Te: 0.090 0.250 0.372 [2 per cell]
Te: 0.220 0.750 0.998 [2 per cell]
Te: 0.425 0.750 0.682 [2 per cell]

The value obtained for the formation energy without anion corrections is -8.3 eV/f.u. The calculation puts the density of states at the Fermi level at 6.3 states/eV per cell.

Number 1: raw total energy -6.231 eV per atom. Number 2: raw total energy -5.552 eV per atom. Number 3: raw total energy -6.314 eV per atom. Number 4: raw total energy -4.932 eV per atom. Number 5: raw total energy -4.438 eV per atom. Number 6: raw total energy -4.465 eV per atom. Number 7: raw total energy -5.794 eV per atom. Number 8: raw total energy -5.590 eV per atom. Number 9: raw total energy -5.604 eV per atom. Number 10: raw total energy -5.762 eV per atom. Number 11: raw total energy -5.528 eV per atom. Number 12: raw total energy -4.589 eV per atom. Number 13: raw total energy -4.589 eV per atom. Number 14: raw total energy -4.254 eV per atom. Number 15: raw total energy -4.284 eV per atom. Number 16: raw total energy -4.357 eV per atom. Number 17: raw total energy -3.910 eV per atom. Number 18: raw total energy -5.241 eV per atom. Number 19: raw total energy -5.007 eV per atom. Number 20: raw total energy -5.205 eV per atom. Number 21: raw total energy -4.595 eV per atom. Number 22: raw total energy -4.889 eV per atom.